Record 1
VASP calculation (PBE) on crystalline ThAsPd3 at its relaxed geometry.

Lattice parameters (Å, degrees): 4.0310 4.2697 11.9876 100.26 90.00 90.00
Element x y z (fractional)
Th 0.5000 0.8351 0.6702
Th 0.5000 0.1649 0.3298
As 0.0000 0.6123 0.2245
As 0.0000 0.3877 0.7755
Pd 0.0000 0.0574 0.1149
Pd 0.0000 0.9426 0.8851
Pd 0.0000 0.2833 0.5665
Pd 0.0000 0.7167 0.4335
Pd 0.5000 0.4444 0.8887
Pd 0.5000 0.5556 0.1113

Computed properties:
- crystal system = orthorhombic
- ΔH_f (0 K) (eV per atom) = -0.60
- symmetry = Cmmm (65)
- calculated density (Mg/m³) = 10.24
- spin magnetization (μB/cell) = 0.0

Record 2
VASP calculation (PBE) on crystalline Nd5TlHg2Ir2 at its relaxed geometry.

Lattice parameters (Å, degrees): 3.8313 12.2255 12.2255 90.00 90.00 90.00
Element x y z (fractional)
Nd 0.5000 0.2038 0.0890
Nd 0.5000 0.7962 0.9110
Nd 0.5000 0.0890 0.7962
Nd 0.5000 0.7038 0.4110
Nd 0.5000 0.9110 0.2038
Nd 0.5000 0.2962 0.5890
Nd 0.5000 0.5890 0.7038
Nd 0.5000 0.4110 0.2962
Nd 0.5000 0.5000 0.0000
Nd 0.5000 0.0000 0.5000
Tl 0.0000 0.0000 0.0000
Tl 0.0000 0.5000 0.5000
Hg 0.0000 0.6708 0.1708
Hg 0.0000 0.3292 0.8292
Hg 0.0000 0.1708 0.3292
Hg 0.0000 0.8292 0.6708
Ir 0.0000 0.1280 0.6280
Ir 0.0000 0.8720 0.3720
Ir 0.0000 0.6280 0.8720
Ir 0.0000 0.3720 0.1280

Computed properties:
- crystal system = tetragonal
- ΔH_f (0 K) (eV per atom) = -0.43
- symmetry = P4/mbm (127)
- calculated density (Mg/m³) = 9.92
- spin magnetization (μB/cell) = 0.0

Record 3
VASP calculation (PBE) on crystalline Sr2NpUAs4 at its relaxed geometry.

Lattice parameters (Å, degrees): 4.2490 7.3589 7.5319 109.04 90.00 90.00
Element x y z (fractional)
Sr 0.5000 0.0000 0.5000
Sr 0.0000 0.5000 0.5000
Np 0.5000 0.5000 0.0000
U 0.0000 0.0000 0.0000
As 0.5000 0.2349 0.2156
As 0.5000 0.7651 0.7844
As 0.0000 0.2577 0.7845
As 0.0000 0.7423 0.2155

Computed properties:
- crystal system = monoclinic
- ΔH_f (0 K) (eV per atom) = -0.93
- symmetry = P2/m (10)
- calculated density (Mg/m³) = 7.09
- spin magnetization (μB/cell) = 5.0

Record 4
VASP calculation (PBE) on crystalline Rb4LaNd3Se8 at its relaxed geometry.

Lattice parameters (Å, degrees): 8.8009 9.4972 8.8015 117.62 120.00 90.00
Element x y z (fractional)
Rb 0.5000 0.0000 0.0000
Rb 0.5000 0.0000 0.5000
Rb 0.0000 0.0000 0.0000
Rb 0.0000 0.0000 0.5000
La 0.0000 0.5000 0.0000
Nd 0.5000 0.5000 0.0000
Nd 0.5000 0.5000 0.5000
Nd 0.0000 0.5000 0.5000
Se 0.2355 0.7014 0.9660
Se 0.2355 0.7013 0.4710
Se 0.2663 0.2992 0.5327
Se 0.7305 0.7014 0.9660
Se 0.2695 0.2986 0.0340
Se 0.7337 0.7008 0.4673
Se 0.7645 0.2987 0.5290
Se 0.7645 0.2986 0.0340

Computed properties:
- crystal system = trigonal
- symmetry = R-3m (166)
- calculated density (Mg/m³) = 4.77
- spin magnetization (μB/cell) = 0.0
- E_form (uncorrected) (eV per formula unit) = -28.07

Record 5
VASP calculation (PBE) on crystalline Tb2Pm8Tm at its relaxed geometry.

Lattice parameters (Å, degrees): 6.7257 10.2936 10.2936 38.52 59.69 59.69
Element x y z (fractional)
Tb 0.5872 0.8041 0.8041
Tb 0.4128 0.1959 0.1959
Pm 0.2291 0.3490 0.8244
Pm 0.7709 0.1756 0.6510
Pm 0.1714 0.7559 0.7559
Pm 0.8286 0.2441 0.2441
Pm 0.2291 0.8244 0.3490
Pm 0.7709 0.6510 0.1756
Pm 0.7274 0.5929 0.5929
Pm 0.2726 0.4071 0.4071
Tm 0.0000 0.0000 0.0000

Computed properties:
- crystal system = monoclinic
- ΔH_f (0 K) (eV per atom) = 0.17
- symmetry = C2/m (12)
- calculated density (Mg/m³) = 7.29
- spin magnetization (μB/cell) = 0.0

Record 6
VASP calculation (PBE) on crystalline Mg6NbCd at its relaxed geometry.

Lattice parameters (Å, degrees): 6.3111 6.3111 4.9180 90.00 90.00 120.63
Element x y z (fractional)
Mg 0.8292 0.6671 0.5000
Mg 0.3329 0.1708 0.5000
Mg 0.6765 0.8475 0.0000
Mg 0.1525 0.3235 0.0000
Mg 0.6743 0.3257 0.0000
Mg 0.1706 0.8294 0.0000
Nb 0.8300 0.1700 0.5000
Cd 0.3340 0.6660 0.5000

Computed properties:
- crystal system = orthorhombic
- ΔH_f (0 K) (eV per atom) = 0.11
- symmetry = Amm2 (38)
- calculated density (Mg/m³) = 3.46
- spin magnetization (μB/cell) = 0.0

Record 7
VASP calculation (PBE) on crystalline PmSI at its relaxed geometry.

Lattice parameters (Å, degrees): 4.3370 5.4525 10.4897 90.00 90.00 90.00
Element x y z (fractional)
Pm 0.5000 0.0000 0.6165
Pm 0.0000 0.5000 0.3835
S 0.0000 0.0000 0.4449
S 0.5000 0.5000 0.5551
I 0.5000 0.5000 0.1679
I 0.0000 0.0000 0.8321

Computed properties:
- crystal system = orthorhombic
- symmetry = Pmmn (59)
- calculated density (Mg/m³) = 4.07
- spin magnetization (μB/cell) = 0.0
- E_form (uncorrected) (eV per formula unit) = -5.40

Record 8
VASP calculation (PBE) on crystalline Sn2SbRuAu at its relaxed geometry.

Lattice parameters (Å, degrees): 5.2297 5.4285 5.2297 90.00 90.00 90.00
Element x y z (fractional)
Sb 0.0000 0.5000 0.0000
Au 0.0000 0.0000 0.0000
Sn 0.0000 0.0000 0.5000
Sn 0.5000 0.0000 0.0000
Ru 0.5000 0.5000 0.5000

Computed properties:
- crystal system = tetragonal
- symmetry = P4/mmm (123)
- calculated density (Mg/m³) = 7.35
- spin magnetization (μB/cell) = 2.1
- E_form (uncorrected) (eV per formula unit) = 5.62

Record 9
VASP calculation (PBE) on crystalline RbSbP at its relaxed geometry.

Lattice parameters (Å, degrees): 6.1564 11.1516 9.3337 90.00 126.92 90.00
Element x y z (fractional)
Sb 0.9033 0.0000 0.7540
Sb 0.9033 0.5000 0.2540
Sb 0.1021 0.0000 0.1146
Sb 0.1021 0.5000 0.6146
Rb 0.6949 0.7841 0.3759
Rb 0.6949 0.2159 0.3759
Rb 0.6949 0.2841 0.8759
Rb 0.6949 0.7159 0.8759
P 0.3452 0.0000 0.7922
P 0.3452 0.5000 0.2922
P 0.6576 0.0000 0.0710
P 0.6576 0.5000 0.5710

Computed properties:
- crystal system = monoclinic
- symmetry = Cm (8)
- calculated density (Mg/m³) = 3.09
- spin magnetization (μB/cell) = 0.0
- E_form (uncorrected) (eV per formula unit) = -0.75

Record 10
VASP calculation (PBE) on crystalline Nd2TlBi at its relaxed geometry.

Lattice parameters (Å, degrees): 4.1512 4.1512 7.0976 90.00 90.00 90.00
Element x y z (fractional)
Tl 0.5000 0.5000 0.5000
Nd 0.0000 0.0000 0.7552
Nd 0.0000 0.0000 0.2448
Bi 0.5000 0.5000 0.0000

Computed properties:
- crystal system = tetragonal
- ΔH_f (0 K) (eV per atom) = -0.58
- symmetry = P4/mmm (123)
- calculated density (Mg/m³) = 9.53
- spin magnetization (μB/cell) = 0.0

Record 11
VASP calculation (PBE) on crystalline LiMg2Ga2 at its relaxed geometry.

Lattice parameters (Å, degrees): 8.2609 8.2609 2.9724 90.00 90.00 90.00
Element x y z (fractional)
Mg 0.3694 0.8694 0.0000
Mg 0.8694 0.6306 0.0000
Mg 0.6306 0.1306 0.0000
Mg 0.1306 0.3694 0.0000
Ga 0.1683 0.6683 0.5000
Ga 0.6683 0.8317 0.5000
Ga 0.8317 0.3317 0.5000
Ga 0.3317 0.1683 0.5000
Li 0.0000 0.0000 0.0000
Li 0.5000 0.5000 0.0000

Computed properties:
- crystal system = tetragonal
- ΔH_f (0 K) (eV per atom) = -0.11
- symmetry = P4/mbm (127)
- calculated density (Mg/m³) = 3.19
- spin magnetization (μB/cell) = 0.0